VASP calculation (PBE) on crystalline YCoTcSb at its relaxed geometry.

Electronic total energy ... -7.13 eV/atom
M_tot ... 0.001 μB/atom
ρ ... 8.8 g cm⁻³

Lattice parameters (Å, degrees): 6.516 6.516 6.516 90.00 90.00 90.00
Element x y z (fractional)
Y: 0.000 0.000 0.000
Y: 0.000 0.500 0.500
Y: 0.500 0.000 0.500
Y: 0.500 0.500 0.000
Co: 0.250 0.250 0.750
Co: 0.250 0.750 0.250
Co: 0.750 0.250 0.250
Co: 0.750 0.750 0.750
Tc: 0.250 0.250 0.250
Tc: 0.250 0.750 0.750
Tc: 0.750 0.250 0.750
Tc: 0.750 0.750 0.250
Sb: 0.000 0.000 0.500
Sb: 0.000 0.500 0.000
Sb: 0.500 0.000 0.000
Sb: 0.500 0.500 0.500